A relaxed MgH12Br2O6 crystal, computed with PBE.

Calculated values
Mass density   2.0 g/cm³
Energy   -99.0 eV per cell
Symmetry   No. 12

abc: 6.318 6.318 6.323
angles: 86.23 86.23 71.72
Sites, in units of the cell vectors:
1 H 0.262 0.262 0.252
2 H 0.738 0.738 0.748
3 H 0.418 0.805 0.310
4 H 0.767 0.767 0.993
5 H 0.582 0.195 0.690
6 H 0.817 0.231 0.724
7 H 0.183 0.769 0.276
8 H 0.233 0.233 0.007
9 H 0.805 0.418 0.310
10 H 0.195 0.582 0.690
11 H 0.231 0.817 0.724
12 H 0.769 0.183 0.276
13 O 0.743 0.338 0.216
14 O 0.698 0.698 0.895
15 O 0.302 0.302 0.105
16 O 0.257 0.662 0.784
17 O 0.338 0.743 0.216
18 O 0.662 0.257 0.784
19 Mg 0.500 0.500 0.000
20 Br 0.814 0.814 0.387
21 Br 0.186 0.186 0.613